# 1
# Li3TiO4 | the Alexandria database | GGA-PBE | relaxed
data_Li3TiO4
_space_group_name_H-M_alt 'P 1'
_space_group_IT_number 1
_cell_length_a 4.048
_cell_length_b 6.927
_cell_length_c 5.961
_cell_angle_alpha 90.00
_cell_angle_beta 90.00
_cell_angle_gamma 90.00
loop_
_space_group_symop_operation_xyz
'x,y,z'
loop_
_atom_site_label
_atom_site_type_symbol
_atom_site_fract_x
_atom_site_fract_y
_atom_site_fract_z
Li1 Li 0.250 0.015 0.159
Li2 Li 0.250 0.485 0.159
Li3 Li 0.250 0.750 0.686
Li4 Li 0.750 0.250 0.314
Li5 Li 0.750 0.515 0.841
Li6 Li 0.750 0.985 0.841
Ti1 Ti 0.250 0.250 0.665
Ti2 Ti 0.750 0.750 0.335
O1 O 0.250 0.020 0.823
O2 O 0.250 0.250 0.355
O3 O 0.250 0.480 0.823
O4 O 0.250 0.750 0.333
O5 O 0.750 0.250 0.667
O6 O 0.750 0.520 0.177
O7 O 0.750 0.750 0.645
O8 O 0.750 0.980 0.177
# - Electronic total energy: -6.4242 eV/atom

# 2
# BC5 | the Alexandria database | GGA-PBE | relaxed
data_BC5
_space_group_name_H-M_alt 'P 1'
_space_group_IT_number 1
_cell_length_a 2.524
_cell_length_b 2.525
_cell_length_c 11.329
_cell_angle_alpha 90.00
_cell_angle_beta 90.00
_cell_angle_gamma 90.00
loop_
_space_group_symop_operation_xyz
'x,y,z'
loop_
_atom_site_label
_atom_site_type_symbol
_atom_site_fract_x
_atom_site_fract_y
_atom_site_fract_z
B1 B 0.250 0.000 0.132
B2 B 0.750 0.000 0.868
C1 C 0.250 0.000 0.460
C2 C 0.250 0.000 0.775
C3 C 0.250 0.500 0.036
C4 C 0.250 0.500 0.382
C5 C 0.250 0.500 0.699
C6 C 0.750 0.000 0.225
C7 C 0.750 0.000 0.540
C8 C 0.750 0.500 0.301
C9 C 0.750 0.500 0.618
C10 C 0.750 0.500 0.964
# - Electronic total energy: -8.5872 eV/atom
# - E above lowest polymorph: 3 meV/atom
# - Formation enthalpy at 0 K: 0.2123 eV per atom

Q: Number 2 is which compound?
A: BC5

Q: Which of these has the highest electronic total energy?
A: Li3TiO4

Please write out number 2 again, unchanged.
# BC5 | the Alexandria database | GGA-PBE | relaxed
data_BC5
_space_group_name_H-M_alt 'P 1'
_space_group_IT_number 1
_cell_length_a 2.524
_cell_length_b 2.525
_cell_length_c 11.329
_cell_angle_alpha 90.00
_cell_angle_beta 90.00
_cell_angle_gamma 90.00
loop_
_space_group_symop_operation_xyz
'x,y,z'
loop_
_atom_site_label
_atom_site_type_symbol
_atom_site_fract_x
_atom_site_fract_y
_atom_site_fract_z
B1 B 0.250 0.000 0.132
B2 B 0.750 0.000 0.868
C1 C 0.250 0.000 0.460
C2 C 0.250 0.000 0.775
C3 C 0.250 0.500 0.036
C4 C 0.250 0.500 0.382
C5 C 0.250 0.500 0.699
C6 C 0.750 0.000 0.225
C7 C 0.750 0.000 0.540
C8 C 0.750 0.500 0.301
C9 C 0.750 0.500 0.618
C10 C 0.750 0.500 0.964
# - Electronic total energy: -8.5872 eV/atom
# - E above lowest polymorph: 3 meV/atom
# - Formation enthalpy at 0 K: 0.2123 eV per atom